Te2RhSe, relaxed, DFT PBE; SG = No. 216; formation energy from raw total energies = 452 meV per atom; total energy = -15.311 eV/f.u.
1.0
0.0000 3.5116 3.5116
3.5116 0.0000 3.5116
3.5116 3.5116 0.0000
Te Rh Se
2 1 1
direct
0.0000 0.0000 0.0000
0.2500 0.2500 0.2500
0.5000 0.5000 0.5000
0.7500 0.7500 0.7500